No. 1
A plane-wave DFT calculation with GGA-PBE was carried out for a relaxed KAl2Ir crystal.

Computed properties:
ΔH_f (0 K): 0.05 eV/atom
Mass density: 5.76 Mg/m³
Relative energy among the computed polymorphs: 98.7 kJ/mol of formula units
Space-group type: R-3m
N(E_F): 0.611 states/eV per atom

Cell: 9.939 9.939 9.939 Å, 18.04 18.04 18.04°
Sites, in units of the cell vectors:
Al (0.979, 0.979, 0.979)
Al (0.521, 0.521, 0.521)
Ir (0.250, 0.250, 0.250)
K (0.750, 0.750, 0.750)



No. 2
A plane-wave DFT calculation with GGA-PBE was carried out for a relaxed NpUCoS4 crystal.

Computed properties:
Mass density: 8.51 Mg/m³
Uncorrected formation energy: -774 kJ/mol of formula units
Space-group type: P2_1/m
N(E_F): 1.926 states/eV per atom

Cell: 6.307 5.723 7.477 Å, 90.00 106.82 90.00°
Sites, in units of the cell vectors:
S (0.568, 0.250, 0.885)
S (0.432, 0.750, 0.115)
S (0.019, 0.989, 0.755)
S (0.981, 0.489, 0.245)
S (0.577, 0.250, 0.396)
S (0.981, 0.011, 0.245)
S (0.423, 0.750, 0.604)
S (0.019, 0.511, 0.755)
Np (0.254, 0.250, 0.064)
Np (0.746, 0.750, 0.936)
U (0.245, 0.250, 0.557)
U (0.755, 0.750, 0.443)
Co (0.236, 0.750, 0.312)
Co (0.764, 0.250, 0.688)



No. 3
A plane-wave DFT calculation with GGA-PBE was carried out for a relaxed Li3ReRu crystal.

Computed properties:
ΔH_f (0 K): 1.66 eV/atom
Mass density: 7.05 Mg/m³
Relative energy among the computed polymorphs: 0.0 kJ/mol of formula units
Space-group type: Pm-3m
N(E_F): 1.104 states/eV per atom

Cell: 4.170 4.170 4.170 Å, 90.00 90.00 90.00°
Sites, in units of the cell vectors:
Re (0.500, 0.500, 0.500)
Li (0.000, 0.000, 0.500)
Li (0.000, 0.500, 0.000)
Li (0.500, 0.000, 0.000)
Ru (0.000, 0.000, 0.000)



No. 4
A plane-wave DFT calculation with GGA-PBE was carried out for a relaxed SrSc2AgAs crystal.

Computed properties:
ΔH_f (0 K): 0.19 eV/atom
Mass density: 3.88 Mg/m³
Space-group type: P4/mmm
N(E_F): 1.257 states/eV per atom

Cell: 5.135 5.853 5.135 Å, 90.00 90.00 90.00°
Sites, in units of the cell vectors:
Sc (0.500, 0.000, 0.000)
Sc (0.000, 0.000, 0.500)
As (0.500, 0.500, 0.500)
Sr (0.000, 0.500, 0.000)
Ag (0.000, 0.000, 0.000)



No. 5
A plane-wave DFT calculation with GGA-PBE was carried out for a relaxed ZrAl2Ge crystal.

Computed properties:
ΔH_f (0 K): -0.36 eV/atom
Mass density: 5.11 Mg/m³
Space-group type: P4/mmm
N(E_F): 0.424 states/eV per atom

Cell: 4.373 4.024 4.024 Å, 90.00 90.00 90.00°
Sites, in units of the cell vectors:
Zr (0.500, 0.500, 0.500)
Ge (0.500, 0.000, 0.000)
Al (0.000, 0.000, 0.500)
Al (0.000, 0.500, 0.000)



No. 6
A plane-wave DFT calculation with GGA-PBE was carried out for a relaxed TbAgPb3 crystal.

Computed properties:
ΔH_f (0 K): -0.14 eV/atom
Mass density: 10.82 Mg/m³
Space-group type: P1
N(E_F): 0.463 states/eV per atom

Cell: 4.410 6.041 5.959 Å, 87.17 111.71 111.64°
Sites, in units of the cell vectors:
Tb (0.505, 0.150, 0.240)
Ag (0.087, 0.551, 0.008)
Pb (0.315, 0.346, 0.667)
Pb (0.692, 0.951, 0.819)
Pb (0.856, 0.728, 0.371)



No. 7
A plane-wave DFT calculation with GGA-PBE was carried out for a relaxed SrGa2Pb crystal.

Computed properties:
ΔH_f (0 K): -0.12 eV/atom
Mass density: 6.20 Mg/m³
Space-group type: I-42d
N(E_F): 0.404 states/eV per atom

Cell: 8.381 8.381 6.790 Å, 51.89 51.89 90.00°
Sites, in units of the cell vectors:
Ga (0.089, 0.625, 0.250)
Ga (0.375, 0.339, 0.750)
Ga (0.661, 0.125, 0.250)
Ga (0.875, 0.911, 0.750)
Sr (0.500, 0.500, 0.000)
Sr (0.250, 0.750, 0.500)
Pb (0.000, 0.000, 0.000)
Pb (0.750, 0.250, 0.500)



No. 8
A plane-wave DFT calculation with GGA-PBE was carried out for a relaxed AgSb2AsRu crystal.

Computed properties:
Mass density: 6.44 Mg/m³
Uncorrected formation energy: 648 kJ/mol of formula units
Space-group type: P4/mmm
N(E_F): 0.923 states/eV per atom

Cell: 5.311 4.819 5.311 Å, 90.00 90.00 90.00°
Sites, in units of the cell vectors:
Sb (0.000, 0.000, 0.500)
Sb (0.500, 0.000, 0.000)
As (0.000, 0.500, 0.000)
Ag (0.000, 0.000, 0.000)
Ru (0.500, 0.500, 0.500)



No. 9
A plane-wave DFT calculation with GGA-PBE was carried out for a relaxed Ta4PdW3 crystal.

Computed properties:
ΔH_f (0 K): -0.12 eV/atom
Mass density: 16.87 Mg/m³
Space-group type: Pmmm
N(E_F): 0.689 states/eV per atom

Cell: 3.254 4.596 9.098 Å, 90.00 90.00 90.00°
Sites, in units of the cell vectors:
Ta (0.000, 0.000, 0.500)
Ta (0.000, 0.500, 0.746)
Ta (0.000, 0.000, 0.000)
Ta (0.000, 0.500, 0.254)
Pd (0.500, 0.500, 0.000)
W (0.500, 0.000, 0.245)
W (0.500, 0.000, 0.755)
W (0.500, 0.500, 0.500)



No. 10
A plane-wave DFT calculation with GGA-PBE was carried out for a relaxed Cr13Mo3 crystal.

Computed properties:
ΔH_f (0 K): 0.05 eV/atom
Mass density: 7.88 Mg/m³
Space-group type: Amm2
N(E_F): 0.518 states/eV per atom

Cell: 5.875 5.875 5.881 Å, 90.00 90.00 90.15°
Sites, in units of the cell vectors:
Cr (0.001, 0.003, 0.497)
Cr (0.497, 0.499, 0.497)
Cr (0.247, 0.745, 0.750)
Cr (0.245, 0.745, 0.250)
Cr (0.001, 0.003, 0.003)
Cr (0.497, 0.499, 0.003)
Cr (0.755, 0.745, 0.250)
Cr (0.245, 0.255, 0.250)
Cr (0.003, 0.497, 0.003)
Cr (0.755, 0.253, 0.750)
Cr (0.755, 0.255, 0.250)
Cr (0.245, 0.255, 0.750)
Cr (0.003, 0.497, 0.497)
Mo (0.497, 0.003, 0.002)
Mo (0.756, 0.744, 0.750)
Mo (0.497, 0.003, 0.498)



No. 11
A plane-wave DFT calculation with GGA-PBE was carried out for a relaxed GeBi3B crystal.

Computed properties:
ΔH_f (0 K): 0.80 eV/atom
Mass density: 9.02 Mg/m³
Relative energy among the computed polymorphs: 0.0 kJ/mol of formula units
Space-group type: Pm-3m
N(E_F): 0.728 states/eV per atom

Cell: 5.077 5.077 5.077 Å, 90.00 90.00 90.00°
Sites, in units of the cell vectors:
Bi (0.000, 0.000, 0.500)
Bi (0.000, 0.500, 0.000)
Bi (0.500, 0.000, 0.000)
B (0.000, 0.000, 0.000)
Ge (0.500, 0.500, 0.500)



No. 12
A plane-wave DFT calculation with GGA-PBE was carried out for a relaxed LaDy5Ho4 crystal.

Computed properties:
ΔH_f (0 K): 0.30 eV/atom
Mass density: 8.18 Mg/m³
Relative energy among the computed polymorphs: 224.1 kJ/mol of formula units
Space-group type: I4
N(E_F): 1.417 states/eV per atom

Cell: 6.278 7.870 7.870 Å, 80.85 66.49 66.49°
Sites, in units of the cell vectors:
Dy (0.802, 0.380, 0.912)
Dy (0.093, 0.620, 0.088)
Dy (0.182, 0.912, 0.620)
Dy (0.680, 0.000, 0.000)
Dy (0.713, 0.088, 0.380)
Ho (0.505, 0.598, 0.300)
Ho (0.805, 0.700, 0.598)
Ho (0.104, 0.300, 0.402)
Ho (0.404, 0.402, 0.700)
La (0.222, 0.000, 0.000)



| no. | calculated volume (Å³ per cell) |
| --- | --- |
| 1 | 82.3 |
| 2 | 258.3 |
| 3 | 72.5 |
| 4 | 154.3 |
| 5 | 70.8 |
| 6 | 136.4 |
| 7 | 232.8 |
| 8 | 135.9 |
| 9 | 136.0 |
| 10 | 203.0 |
| 11 | 130.8 |
| 12 | 327.0 |